VASP calculation (PBE) on Ca6Te4P after structural relaxation.

Output
uncorrected formation energy	-1.35	eV per atom

a b c (Å): 12.4154 12.4154 15.4788
angles (deg): 90.00 90.00 120.00
Last column: nearest neighbours and their distance in Å.
Space group R-3c (No. 167, hexagonal axes)
Asymmetric unit:
Ca  0.0290  0.1907  0.3947 [36 per cell]  1 P 2.75
Te  0.0000  0.0000  0.2500 [6 per cell]  6 Ca 3.15
Te  0.0000  0.3685  0.2500 [18 per cell]  8 Ca 3.29-3.54
P  0.0000  0.0000  0.0000 [6 per cell]  6 Ca 2.75


VASP calculation (PBE) on Sc2Ga5Tc2Pd after structural relaxation.

Output
calculated formation energy	-6.87	kcal/mol of atoms

a b c (Å): 10.0715 10.0715 3.3939
angles (deg): 90.00 90.00 90.00
Last column: nearest neighbours and their distance in Å.
Space group P4/mbm (No. 127)
Asymmetric unit:
Sc  0.1840  0.3160  0.0000 [4 per cell]  1 Tc 2.66
Ga  0.0000  0.5000  0.5000 [2 per cell]  4 Tc 2.50
Ga  0.0532  0.8060  0.5000 [8 per cell]  2 Tc 2.58, 2 Pd 2.64, 2 Ga 2.86
Tc  0.1290  0.6290  0.0000 [4 per cell]  6 Ga 2.50-2.58, 1 Sc 2.66
Pd  0.0000  0.0000  0.0000 [2 per cell]  8 Ga 2.64


VASP calculation (PBE) on Sr2Br5N2 after structural relaxation.

Output
uncorrected formation energy	-0.19	eV per atom

a b c (Å): 19.9704 10.6169 5.8540
angles (deg): 90.00 90.00 90.00
Last column: nearest neighbours and their distance in Å.
Space group Ima2 (No. 46)
Asymmetric unit:
Sr  0.0000  0.0000  0.0000 [4 per cell]  2 N 2.79, 2 Br 3.06
Sr  0.2500  0.0716  0.2051 [4 per cell]  5 Br 2.98-3.12
Br  0.0581  0.2466  0.2917 [8 per cell]  2 Br 2.93, 1 Sr 3.17
Br  0.1323  0.6011  0.6918 [8 per cell]  1 N 2.75, 2 Sr 2.98-3.06
Br  0.2500  0.1349  0.7042 [4 per cell]  3 Sr 3.00-3.12
N  0.0761  0.5608  0.1148 [8 per cell]  1 Br 2.75, 1 Sr 2.79


VASP calculation (PBE) on NaCu3S3 after structural relaxation.

Output
energy relative to the lowest polymorph listed for this composition	0.000	eV/atom
uncorrected formation energy	-0.40	eV per atom

a b c (Å): 6.5745 6.5745 20.7511
angles (deg): 90.00 90.00 120.00
Last column: nearest neighbours and their distance in Å.
Space group R-3 (No. 148, hexagonal axes)
Asymmetric unit:
Na  0.0000  0.0000  0.1665 [6 per cell]  6 S 2.91
Cu  0.0002  0.3313  0.6248 [18 per cell]  4 S 2.29-2.41
S  0.0003  0.3344  0.4073 [18 per cell]  4 Cu 2.29-2.41